DFT (GGA-PBE) results for crystalline CaAsAu2 at its relaxed geometry.

Cell: 10.148 4.500 4.518 Å, 90.00 108.51 90.00°
Atoms (fractional coordinates):
Ca 0.000 0.000 0.000
Ca 0.500 0.500 0.000
As 0.249 0.500 0.250
As 0.749 0.000 0.250
Au 0.137 0.500 0.674
Au 0.357 0.000 0.402
Au 0.637 0.000 0.674
Au 0.857 0.500 0.402

- Total DFT energy (no corrections): -3.82 eV/atom
- Space group: Cm

***

DFT (GGA-PBE) results for crystalline CaAsAu2 at its relaxed geometry.

Cell: 3.360 4.654 5.554 Å, 90.00 90.07 90.00°
Atoms (fractional coordinates):
Ca 0.000 0.000 0.000
As 0.500 0.000 0.500
Au 0.500 0.500 0.244
Au 0.500 0.500 0.756

- Total DFT energy (no corrections): -3.82 eV/atom
- Space group: P2/m

***

DFT (GGA-PBE) results for crystalline CaAsAu at its relaxed geometry.

Cell: 4.601 4.606 8.798 Å, 104.23 90.37 119.91°
Atoms (fractional coordinates):
Ca 0.000 0.000 0.000
Ca 0.220 0.448 0.655
As 0.618 0.239 0.853
As 0.820 0.654 0.453
Au 0.484 0.981 0.444
Au 0.720 0.441 0.162

- Total DFT energy (no corrections): -4.07 eV/atom
- Space group: P1